GGA-PBE MgTaAsO, relaxed; total moment = 0.0 μB per cell; crystal system = tetragonal; energy = -6.533 eV per atom; V = 114.9 Å³/cell; energy above the lowest structure with this stoichiometry = 444 meV/atom
1.0
-3.471 1.198 0.024
-1.097 -3.206 1.413
1.119 3.084 7.867
As Mg O Ta
2 2 2 2
direct
0.750 0.750 0.275 As
0.250 0.250 0.725 As
0.750 0.250 0.500 Mg
0.250 0.750 0.500 Mg
0.750 0.250 0.000 O
0.250 0.750 0.000 O
0.250 0.250 0.145 Ta
0.750 0.750 0.855 Ta